# 1
The following is a GGA-PBEsol calculation of Te4AuO4F20 after structural relaxation, from Alexandria via LeMat-Bulk.

Structure (CIF):
```
data_Te4AuO4F20
_chemical_formula_sum 'Te4 Au1 O4 F20'
_space_group_name_H-M_alt 'P -1'
_space_group_IT_number 2
_space_group_name_Hall '-P 1'
_cell_length_a 5.531
_cell_length_b 8.559
_cell_length_c 10.222
_cell_angle_alpha 111.47
_cell_angle_beta 95.85
_cell_angle_gamma 92.37
loop_
_atom_site_label
_atom_site_type_symbol
_atom_site_fract_x
_atom_site_fract_y
_atom_site_fract_z
Te1 Te 0.227 0.384 0.247
Te2 Te 0.243 0.100 0.747
Au1 Au 0.000 0.000 0.000
O1 O 0.210 0.955 0.851
O2 O 0.260 0.151 0.135
F1 F 0.061 0.982 0.359
F2 F 0.072 0.326 0.378
F3 F 0.075 0.618 0.854
F4 F 0.091 0.271 0.875
F5 F 0.207 0.609 0.357
F6 F 0.288 0.237 0.646
F7 F 0.387 0.454 0.124
F8 F 0.390 0.931 0.616
F9 F 0.454 0.812 0.147
F10 F 0.473 0.612 0.652
```

Results
ΔE_f (raw) (meV per atom): -1695
DOS at the Fermi energy (states/eV/cell): 3.20
Mass density (g/cm³): 4.28

***

# 2
The following is a GGA-PBEsol calculation of Tc2P3 after structural relaxation, from Alexandria via LeMat-Bulk.

Structure (CIF):
```
data_Tc2P3
_chemical_formula_sum 'Tc8 P12'
_space_group_name_H-M_alt 'C 1 2/m 1'
_space_group_IT_number 12
_space_group_name_Hall '-C 2y'
_cell_length_a 12.271
_cell_length_b 3.066
_cell_length_c 8.920
_cell_angle_alpha 90.00
_cell_angle_beta 123.65
_cell_angle_gamma 90.00
loop_
_atom_site_label
_atom_site_type_symbol
_atom_site_fract_x
_atom_site_fract_y
_atom_site_fract_z
Tc1 Tc 0.136 0.000 0.357
Tc2 Tc 0.249 0.500 0.864
P1 P 0.087 0.000 0.821
P2 P 0.098 0.500 0.128
P3 P 0.111 0.500 0.541
```

Results
Energy relative to the elements (eV per atom): -0.614
DOS at the Fermi energy (states/eV/cell): 5.46
Mass density (g/cm³): 6.87
Energy above the most stable polymorph in this dataset (meV/atom): 4.3

***

# 3
The following is a GGA-PBEsol calculation of CsZr2RhAu after structural relaxation, from Alexandria via LeMat-Bulk.

Structure (CIF):
```
data_CsZr2RhAu
_chemical_formula_sum 'Cs1 Zr2 Rh1 Au1'
_space_group_name_H-M_alt 'P 4/m m m'
_space_group_IT_number 123
_space_group_name_Hall '-P 4 2'
_cell_length_a 5.106
_cell_length_b 5.106
_cell_length_c 5.104
_cell_angle_alpha 90.00
_cell_angle_beta 90.00
_cell_angle_gamma 90.00
loop_
_atom_site_label
_atom_site_type_symbol
_atom_site_fract_x
_atom_site_fract_y
_atom_site_fract_z
Cs1 Cs 0.000 0.000 0.000
Zr1 Zr 0.000 0.500 0.000
Rh1 Rh 0.500 0.500 0.500
Au1 Au 0.000 0.000 0.500
```

Results
Energy relative to the elements (eV per atom): 2.348
DOS at the Fermi energy (states/eV/cell): 7.15
Mass density (g/cm³): 7.68

***

# 4
The following is a GGA-PBEsol calculation of Y2BeCd after structural relaxation, from Alexandria via LeMat-Bulk.

Structure (CIF):
```
data_Y2BeCd
_chemical_formula_sum 'Y2 Be1 Cd1'
_space_group_name_H-M_alt 'P 4 m m'
_space_group_IT_number 99
_space_group_name_Hall 'P 4 -2'
_cell_length_a 3.247
_cell_length_b 3.247
_cell_length_c 8.388
_cell_angle_alpha 90.00
_cell_angle_beta 90.00
_cell_angle_gamma 90.00
loop_
_atom_site_label
_atom_site_type_symbol
_atom_site_fract_x
_atom_site_fract_y
_atom_site_fract_z
Y1 Y 0.000 0.000 0.000
Y2 Y 0.500 0.500 0.334
Be1 Be 0.000 0.000 0.560
Cd1 Cd 0.500 0.500 0.723
```

Results
Energy relative to the elements (eV per atom): 0.063
DOS at the Fermi energy (states/eV/cell): 3.84
Mass density (g/cm³): 5.62
Energy above the most stable polymorph in this dataset (meV/atom): 218.8

***

# 5
The following is a GGA-PBEsol calculation of TeOsPb2 after structural relaxation, from Alexandria via LeMat-Bulk.

Structure (CIF):
```
data_TeOsPb2
_chemical_formula_sum 'Te1 Os1 Pb2'
_space_group_name_H-M_alt 'P 4/m m m'
_space_group_IT_number 123
_space_group_name_Hall '-P 4 2'
_cell_length_a 3.197
_cell_length_b 3.197
_cell_length_c 9.525
_cell_angle_alpha 90.00
_cell_angle_beta 90.00
_cell_angle_gamma 90.00
loop_
_atom_site_label
_atom_site_type_symbol
_atom_site_fract_x
_atom_site_fract_y
_atom_site_fract_z
Te1 Te 0.000 0.000 0.000
Os1 Os 0.000 0.000 0.500
Pb1 Pb 0.500 0.500 0.310
```

Results
ΔE_f (raw) (meV per atom): 515
DOS at the Fermi energy (states/eV/cell): 3.59
Mass density (g/cm³): 12.49

***

# 6
The following is a GGA-PBEsol calculation of CaMg14NiO16 after structural relaxation, from Alexandria via LeMat-Bulk.

Structure (CIF):
```
data_CaMg14NiO16
_chemical_formula_sum 'Ca1 Mg14 Ni1 O16'
_space_group_name_H-M_alt 'P m m m'
_space_group_IT_number 47
_space_group_name_Hall '-P 2 2'
_cell_length_a 4.275
_cell_length_b 8.465
_cell_length_c 8.521
_cell_angle_alpha 90.00
_cell_angle_beta 90.00
_cell_angle_gamma 90.00
loop_
_atom_site_label
_atom_site_type_symbol
_atom_site_fract_x
_atom_site_fract_y
_atom_site_fract_z
Ca1 Ca 0.000 0.000 0.000
Mg1 Mg 0.000 0.000 0.500
Mg2 Mg 0.000 0.254 0.252
Mg3 Mg 0.000 0.500 0.500
Mg4 Mg 0.500 0.000 0.255
Mg5 Mg 0.500 0.251 0.500
Mg6 Mg 0.500 0.257 0.000
Mg7 Mg 0.500 0.500 0.249
Ni1 Ni 0.000 0.500 0.000
O1 O 0.000 0.000 0.263
O2 O 0.000 0.252 0.500
O3 O 0.000 0.265 0.000
O4 O 0.000 0.500 0.254
O5 O 0.500 0.000 0.000
O6 O 0.500 0.000 0.500
O7 O 0.500 0.250 0.249
O8 O 0.500 0.500 0.000
O9 O 0.500 0.500 0.500
```

Results
ΔE_f (raw) (meV per atom): -2594
DOS at the Fermi energy (states/eV/cell): 1.22
Mass density (g/cm³): 3.74